Material: CaAcEuIn
Method: DFT, GGA-PBE
State: optimized geometry

Geometry as POSCAR:
```
CaAcEuIn
1.0
-5.1197 1.5559 2.3636
-0.6551 0.0104 5.8129
-0.4713 5.0691 2.8812
Eu Ac Ca In
1 1 1 1
Cartesian
-1.5615 1.6588 2.7644
-3.1231 3.3177 5.5288
-4.6846 4.9765 8.2932
0.0000 0.0000 0.0000
```

## Properties
The value obtained for the magnetic moment is 7.64 μB/f.u. The formation enthalpy at 0 K comes out at -0.06 eV/atom. Its calculated volume is 35.39 Å³ per atom. As for the space group: F-43m, No. 216.